[1]
# BePd2, relaxed, DFT PBE-GGA
data_BePd2
_chemical_formula_sum 'Be2 Pd4'
_space_group_name_H-M_alt 'C 1 2/m 1'
_space_group_IT_number 12
_space_group_name_Hall '-C 2y'
_cell_length_a 6.6753
_cell_length_b 3.8825
_cell_length_c 3.8835
_cell_angle_alpha 90.00
_cell_angle_beta 124.74
_cell_angle_gamma 90.00
loop_
_atom_site_label
_atom_site_type_symbol
_atom_site_fract_x
_atom_site_fract_y
_atom_site_fract_z
Be1 Be 0.0000 0.0000 0.0000
Pd1 Pd 0.2500 0.0000 0.7490
# Energy ... -5.053 eV/atom
# Total moment ... 0.0 μB per cell
# Energy relative to the lowest polymorph listed for this composition ... 150 meV per atom
# Mass density ... 8.9 g/cm3


[2]
# PmIn5Te4, relaxed, DFT PBE-GGA
data_PmIn5Te4
_chemical_formula_sum 'Pm2 In10 Te8'
_space_group_name_H-M_alt 'C 1 2/m 1'
_space_group_IT_number 12
_space_group_name_Hall '-C 2y'
_cell_length_a 21.0716
_cell_length_b 4.6156
_cell_length_c 7.8325
_cell_angle_alpha 90.00
_cell_angle_beta 109.51
_cell_angle_gamma 90.00
loop_
_atom_site_label
_atom_site_type_symbol
_atom_site_fract_x
_atom_site_fract_y
_atom_site_fract_z
Pm1 Pm 0.0000 0.0000 0.0000
In1 In 0.0000 0.0000 0.5000
In2 In 0.1876 0.5000 0.6593
In3 In 0.1955 0.5000 0.1567
Te1 Te 0.0641 0.5000 0.8314
Te2 Te 0.1362 0.0000 0.3477
# Energy ... -3.561 eV/atom
# Total moment ... 0.0 μB per cell
# Energy relative to the lowest polymorph listed for this composition ... 25 meV per atom
# Formation energy without anion corrections ... -4.60 eV/f.u.
# Mass density ... 5.7 g/cm3


[3]
# TiNi3H, relaxed, DFT PBE-GGA
data_TiNi3H
_chemical_formula_sum 'Ti1 Ni3 H1'
_space_group_name_H-M_alt 'P m -3 m'
_space_group_IT_number 221
_space_group_name_Hall '-P 4 2 3'
_cell_length_a 4.3615
_cell_length_b 4.3615
_cell_length_c 4.3615
_cell_angle_alpha 90.00
_cell_angle_beta 90.00
_cell_angle_gamma 90.00
loop_
_atom_site_label
_atom_site_type_symbol
_atom_site_fract_x
_atom_site_fract_y
_atom_site_fract_z
Ti1 Ti 0.0000 0.0000 0.0000
Ni1 Ni 0.0000 0.0000 0.5000
H1 H 0.5000 0.5000 0.5000
# Energy ... -4.159 eV/atom
# Total moment ... 0.2 μB per cell
# Energy relative to the lowest polymorph listed for this composition ... 1850 meV per atom
# Mass density ... 4.5 g/cm3


[4]
# Cs2K6RbNa2, relaxed, DFT PBE-GGA
data_Cs2K6RbNa2
_chemical_formula_sum 'Cs2 K6 Rb1 Na2'
_space_group_name_H-M_alt 'P -1'
_space_group_IT_number 2
_space_group_name_Hall '-P 1'
_cell_length_a 8.5539
_cell_length_b 8.8739
_cell_length_c 11.1743
_cell_angle_alpha 85.91
_cell_angle_beta 76.31
_cell_angle_gamma 83.97
loop_
_atom_site_label
_atom_site_type_symbol
_atom_site_fract_x
_atom_site_fract_y
_atom_site_fract_z
Cs1 Cs 0.0844 0.4988 0.2488
K1 K 0.2476 0.0197 0.4867
K2 K 0.3505 0.7316 0.8586
K3 K 0.3906 0.2015 0.8590
Rb1 Rb 0.5000 0.5000 0.5000
Na1 Na 0.0789 0.9975 0.1512
# Energy ... -1.061 eV/atom
# Total moment ... 0.0 μB per cell
# Mass density ... 1.3 g/cm3


[5]
# Nd5InGa4, relaxed, DFT PBE-GGA
data_Nd5InGa4
_chemical_formula_sum 'Nd5 In1 Ga4'
_space_group_name_H-M_alt 'P 4/m m m'
_space_group_IT_number 123
_space_group_name_Hall '-P 4 2'
_cell_length_a 3.7153
_cell_length_b 3.7153
_cell_length_c 18.8501
_cell_angle_alpha 90.00
_cell_angle_beta 90.00
_cell_angle_gamma 90.00
loop_
_atom_site_label
_atom_site_type_symbol
_atom_site_fract_x
_atom_site_fract_y
_atom_site_fract_z
Nd1 Nd 0.0000 0.0000 0.0000
Nd2 Nd 0.0000 0.0000 0.1942
Nd3 Nd 0.0000 0.0000 0.3898
In1 In 0.5000 0.5000 0.5000
Ga1 Ga 0.5000 0.5000 0.0973
Ga2 Ga 0.5000 0.5000 0.2923
# Energy ... -4.411 eV/atom
# Total moment ... 0.0 μB per cell
# Mass density ... 7.1 g/cm3


[6]
# CsNp2GaCl8, relaxed, DFT PBE-GGA
data_CsNp2GaCl8
_chemical_formula_sum 'Cs1 Np2 Ga1 Cl8'
_space_group_name_H-M_alt 'P -3'
_space_group_IT_number 147
_space_group_name_Hall '-P 3'
_cell_length_a 7.5690
_cell_length_b 7.5690
_cell_length_c 8.4405
_cell_angle_alpha 90.00
_cell_angle_beta 90.00
_cell_angle_gamma 120.00
loop_
_atom_site_label
_atom_site_type_symbol
_atom_site_fract_x
_atom_site_fract_y
_atom_site_fract_z
Cs1 Cs 0.0000 0.0000 0.0000
Np1 Np 0.3333 0.6667 0.4199
Ga1 Ga 0.0000 0.0000 0.5000
Cl1 Cl 0.0530 0.3747 0.6443
Cl2 Cl 0.3333 0.6667 0.1101
# Energy ... -5.278 eV/atom
# Total moment ... 8.0 μB per cell
# Formation energy without anion corrections ... -18.80 eV/f.u.
# Mass density ... 3.8 g/cm3


[7]
# Y2Be12Ni5, relaxed, DFT PBE-GGA
data_Y2Be12Ni5
_chemical_formula_sum 'Y6 Be36 Ni15'
_space_group_name_H-M_alt 'R -3 m'
_space_group_IT_number 166
_space_group_name_Hall '-R 3 2"'
_cell_length_a 7.9684
_cell_length_b 7.9684
_cell_length_c 11.4502
_cell_angle_alpha 90.00
_cell_angle_beta 90.00
_cell_angle_gamma 120.00
loop_
_atom_site_label
_atom_site_type_symbol
_atom_site_fract_x
_atom_site_fract_y
_atom_site_fract_z
Y1 Y 0.0000 0.0000 0.1578
Be1 Be 0.0000 0.2743 0.5000
Be2 Be 0.0121 0.5060 0.3397
Ni1 Ni 0.0000 0.0000 0.3988
Ni2 Ni 0.0000 0.5000 0.0000
# Energy ... -4.824 eV/atom
# Total moment ... 0.0 μB per cell
# Mass density ... 4.6 g/cm3


[8]
# CePPd3, relaxed, DFT PBE-GGA
data_CePPd3
_chemical_formula_sum 'Ce1 P1 Pd3'
_space_group_name_H-M_alt 'P m -3 m'
_space_group_IT_number 221
_space_group_name_Hall '-P 4 2 3'
_cell_length_a 4.6303
_cell_length_b 4.6303
_cell_length_c 4.6303
_cell_angle_alpha 90.00
_cell_angle_beta 90.00
_cell_angle_gamma 90.00
loop_
_atom_site_label
_atom_site_type_symbol
_atom_site_fract_x
_atom_site_fract_y
_atom_site_fract_z
Ce1 Ce 0.0000 0.0000 0.0000
P1 P 0.5000 0.5000 0.5000
Pd1 Pd 0.0000 0.5000 0.5000
# Energy ... -6.023 eV/atom
# Total moment ... 1.0 μB per cell
# Mass density ... 8.2 g/cm3